#1
Below is a geometry-optimized AlCo3Cl structure, with properties calculated at the GGA-PBE level.

a b c (Å): 4.4488 4.4488 4.4488
angles (deg): 90.00 90.00 90.00
Last column: nearest neighbours and their distance in Å.
Fractional coordinates of all 5 atoms:
Co1 0.0000 0.5000 0.0000  2 Al 2.22
Co2 0.0000 0.0000 0.5000  2 Al 2.22
Co3 0.5000 0.0000 0.0000  2 Al 2.22
Al1 0.0000 0.0000 0.0000  6 Co 2.22
Cl1 0.5000 0.5000 0.5000  12 Co 3.15

Results
Total moment, μB/f.u.: 4.29
DOS at the Fermi energy, states/eV/atom: 1.2248

#2
Below is a geometry-optimized AlCo3Cl structure, with properties calculated at the GGA-PBE level.

a b c (Å): 4.0779 4.0779 4.0779
angles (deg): 90.00 90.00 90.00
Last column: nearest neighbours and their distance in Å.
Fractional coordinates of all 5 atoms:
Co1 0.0000 0.5000 0.0000  2 Cl 2.04
Co2 0.0000 0.0000 0.5000  2 Cl 2.04
Co3 0.5000 0.0000 0.0000  2 Cl 2.04
Al1 0.5000 0.5000 0.5000  12 Co 2.88
Cl1 0.0000 0.0000 0.0000  6 Co 2.04

Results
Total moment, μB/f.u.: 1.07
DOS at the Fermi energy, states/eV/atom: 1.0828

Stability comparison, relative energies in kJ/mol of atoms: #1 47.2; #2 0.0

#1
Below is a geometry-optimized AlCrCl structure, with properties calculated at the GGA-PBE level.

a b c (Å): 4.7445 4.7445 4.7445
angles (deg): 60.00 60.00 60.00
Last column: nearest neighbours and their distance in Å.
Fractional coordinates of all 3 atoms:
Cr1 0.5000 0.5000 0.5000  4 Al 2.91
Al1 0.7500 0.7500 0.7500  4 Cr 2.91, 4 Cl 2.91
Cl1 0.0000 0.0000 0.0000  4 Al 2.91

Results
Total moment, μB/f.u.: 5.27
DOS at the Fermi energy, states/eV/atom: 0.6970

#2
Below is a geometry-optimized AlCrCl structure, with properties calculated at the GGA-PBE level.

a b c (Å): 4.5453 4.5453 4.5453
angles (deg): 60.00 60.00 60.00
Last column: nearest neighbours and their distance in Å.
Fractional coordinates of all 3 atoms:
Cr1 0.7500 0.7500 0.7500  4 Al 2.78, 4 Cl 2.78
Al1 0.0000 0.0000 0.0000  4 Cr 2.78
Cl1 0.5000 0.5000 0.5000  4 Cr 2.78

Results
Total moment, μB/f.u.: 4.22
DOS at the Fermi energy, states/eV/atom: 0.9643

#3
Below is a geometry-optimized AlCrCl structure, with properties calculated at the GGA-PBE level.

a b c (Å): 2.9628 2.9628 7.3553
angles (deg): 90.00 90.00 120.00
Last column: nearest neighbours and their distance in Å.
Fractional coordinates of all 3 atoms:
Cr1 0.3333 0.6667 0.6439  3 Cl 2.31
Al1 0.0000 0.0000 0.9232  3 Cr 2.67, 6 Al 2.96
Cl1 0.6667 0.3333 0.4329  3 Cr 2.31

Results
Total moment, μB/f.u.: 1.90
DOS at the Fermi energy, states/eV/atom: 0.6289

Stability comparison, relative energies in kJ/mol of atoms: #1 64.6; #2 49.4; #3 0.0

#1
Below is a geometry-optimized AlCrCl structure, with properties calculated at the GGA-PBE level.

a b c (Å): 7.9399 7.5972 3.1548
angles (deg): 84.46 72.24 23.30
Last column: nearest neighbours and their distance in Å.
Fractional coordinates of all 3 atoms:
Cr1 0.6762 0.6762 0.3238  2 Cl 2.31
Al1 0.0305 0.0305 0.9695  2 Cr 2.65
Cl1 0.2933 0.2933 0.7067  2 Cr 2.31

Results
Total moment, μB/f.u.: 3.51
DOS at the Fermi energy, states/eV/atom: 0.5490

#2
Below is a geometry-optimized AlCrCl structure, with properties calculated at the GGA-PBE level.

a b c (Å): 6.1224 6.1241 6.1241
angles (deg): 150.74 150.74 41.86
Last column: nearest neighbours and their distance in Å.
Fractional coordinates of all 3 atoms:
Cr1 0.6615 0.6615 0.0000  4 Al 2.63, 4 Cl 2.73
Al1 0.0341 0.0342 0.9999  4 Cr 2.63
Cl1 0.3045 0.3044 0.0001  4 Cr 2.73

Results
Total moment, μB/f.u.: 3.31
DOS at the Fermi energy, states/eV/atom: 0.5263

#3
Below is a geometry-optimized AlCrCl structure, with properties calculated at the GGA-PBE level.

a b c (Å): 4.3357 4.3357 3.1653
angles (deg): 90.00 90.00 120.00
Last column: nearest neighbours and their distance in Å.
Fractional coordinates of all 3 atoms:
Cr1 0.6667 0.3333 0.5000  3 Cl 2.50
Al1 0.0000 0.0000 0.0001  6 Cl 2.96, 6 Cr 2.96, 2 Al 3.17
Cl1 0.3333 0.6667 0.4998  3 Cr 2.50

Results
Total moment, μB/f.u.: 3.44
DOS at the Fermi energy, states/eV/atom: 0.4119

Stability comparison, relative energies in kJ/mol of atoms: #1 6.1; #2 0.0; #3 16.4

#1
Below is a geometry-optimized Al3CrCl structure, with properties calculated at the GGA-PBE level.

a b c (Å): 4.9295 4.9295 4.9295
angles (deg): 90.00 90.00 90.00
Last column: nearest neighbours and their distance in Å.
Fractional coordinates of all 5 atoms:
Cr1 0.0000 0.0000 0.0000  6 Al 2.46
Al1 0.0000 0.5000 0.0000  2 Cr 2.46
Al2 0.0000 0.0000 0.5000  2 Cr 2.46
Al3 0.5000 0.0000 0.0000  2 Cr 2.46
Cl1 0.5000 0.5000 0.5000  12 Al 3.49

Results
Total moment, μB/f.u.: 4.00
DOS at the Fermi energy, states/eV/atom: 1.5631

#2
Below is a geometry-optimized Al3CrCl structure, with properties calculated at the GGA-PBE level.

a b c (Å): 4.8533 4.8533 4.8533
angles (deg): 90.00 90.00 90.00
Last column: nearest neighbours and their distance in Å.
Fractional coordinates of all 5 atoms:
Cr1 0.5000 0.5000 0.5000  12 Al 3.43
Al1 0.0000 0.5000 0.0000  2 Cl 2.43
Al2 0.0000 0.0000 0.5000  2 Cl 2.43
Al3 0.5000 0.0000 0.0000  2 Cl 2.43
Cl1 0.0000 0.0000 0.0000  6 Al 2.43

Results
Total moment, μB/f.u.: 4.01
DOS at the Fermi energy, states/eV/atom: 0.5451

Stability comparison, relative energies in kJ/mol of atoms: #1 0.0; #2 42.0

#1
Below is a geometry-optimized Al2CrCl structure, with properties calculated at the GGA-PBE level.

a b c (Å): 8.1131 8.1131 8.1131
angles (deg): 21.59 21.59 21.59
Last column: nearest neighbours and their distance in Å.
Fractional coordinates of all 4 atoms:
Cr1 0.7500 0.7500 0.7500  6 Al 2.54
Al1 0.0060 0.0060 0.0060  3 Cr 2.54, 3 Cl 2.75
Al2 0.4940 0.4940 0.4940  3 Cr 2.54, 3 Cl 2.75
Cl1 0.2500 0.2500 0.2500  6 Al 2.75, 6 Cl 3.04

Results
Total moment, μB/f.u.: 1.52
DOS at the Fermi energy, states/eV/atom: 0.3239

#2
Below is a geometry-optimized Al2CrCl structure, with properties calculated at the GGA-PBE level.

a b c (Å): 5.4741 3.0744 4.3946
angles (deg): 90.23 90.00 90.00
Last column: nearest neighbours and their distance in Å.
Fractional coordinates of all 4 atoms:
Cr1 0.5000 0.7500 0.7500  4 Cl 2.68-2.69
Al1 0.0000 0.9985 0.9921  4 Al 2.61-2.74
Al2 0.0000 0.5015 0.5079  4 Al 2.61-2.74
Cl1 0.5000 0.2500 0.2500  4 Cr 2.68-2.69

Results
Total moment, μB/f.u.: 4.03
DOS at the Fermi energy, states/eV/atom: 0.4071

#3
Below is a geometry-optimized Al2CrCl structure, with properties calculated at the GGA-PBE level.

a b c (Å): 5.6808 5.6808 5.6808
angles (deg): 150.55 128.39 60.54
Last column: nearest neighbours and their distance in Å.
Fractional coordinates of all 4 atoms:
Cr1 0.2547 0.7547 0.5000  2 Cl 2.43, 2 Al 2.61
Al1 0.0329 0.0329 0.0000  2 Cr 2.61, 2 Al 2.89
Al2 0.7583 0.2583 0.5000  4 Cr 2.86, 4 Al 2.89-3.06, 2 Cl 3.13
Cl1 0.4541 0.4541 0.0000  2 Cr 2.43

Results
Total moment, μB/f.u.: 3.05
DOS at the Fermi energy, states/eV/atom: 0.5157

Stability comparison, relative energies in kJ/mol of atoms: #1 0.0; #2 28.8; #3 17.6

#1
Below is a geometry-optimized Al2CrCl2 structure, with properties calculated at the GGA-PBE level.

a b c (Å): 4.1781 4.1781 6.7762
angles (deg): 72.04 72.04 90.00
Last column: nearest neighbours and their distance in Å.
Fractional coordinates of all 5 atoms:
Cr1 0.0000 0.0000 0.0000  8 Al 3.24
Al1 0.3902 0.3902 0.2196  1 Al 2.68, 4 Cl 2.70
Al2 0.6098 0.6098 0.7804  1 Al 2.68, 4 Cl 2.70
Cl1 0.7500 0.2500 0.5000  4 Al 2.70, 4 Cl 2.95
Cl2 0.2500 0.7500 0.5000  4 Al 2.70, 4 Cl 2.95

Results
Total moment, μB/f.u.: 4.28
DOS at the Fermi energy, states/eV/atom: 0.4812

#2
Below is a geometry-optimized Al2CrCl2 structure, with properties calculated at the GGA-PBE level.

a b c (Å): 6.9883 6.9883 4.7983
angles (deg): 90.00 90.00 90.00
Last column: nearest neighbours and their distance in Å.
Fractional coordinates of all 10 atoms:
Cr1 0.0000 0.0000 0.0000  4 Al 2.72
Cr2 0.5000 0.5000 0.0000  4 Al 2.72
Al1 0.3647 0.8647 0.0000  2 Cl 2.45, 1 Al 2.67, 2 Cr 2.72
Al2 0.8647 0.6353 0.0000  2 Cl 2.45, 1 Al 2.67, 2 Cr 2.72
Al3 0.6353 0.1353 0.0000  2 Cl 2.45, 1 Al 2.67, 2 Cr 2.72
Al4 0.1353 0.3647 0.0000  2 Cl 2.45, 1 Al 2.67, 2 Cr 2.72
Cl1 0.3129 0.8129 0.5000  2 Al 2.45
Cl2 0.8129 0.6871 0.5000  2 Al 2.45
Cl3 0.6871 0.1871 0.5000  2 Al 2.45
Cl4 0.1871 0.3129 0.5000  2 Al 2.45

Results
Total moment, μB/f.u.: 4.67
DOS at the Fermi energy, states/eV/atom: 0.5539

Stability comparison, relative energies in kJ/mol of atoms: #1 20.6; #2 0.0